CrCoRh after structural relaxation. Source: the Alexandria database, functional PBE-GGA.

The spin magnetization comes out at 0.0 μB/f.u. The formation energy from the elements is 1.10 eV per formula unit. Its energy above the lowest structure with this stoichiometry is 375 meV per atom. As for the crystal system: cubic. The energy is -91.922 eV for the cell shown.

CIF file:
```
data_CrCoRh
_symmetry_space_group_name_H-M 'F -4 3 m'
_symmetry_Int_Tables_number 216
_symmetry_space_group_name_Hall 'F -4 2 3'
_cell_length_a 5.502
_cell_length_b 5.502
_cell_length_c 5.502
_cell_angle_alpha 90.00
_cell_angle_beta 90.00
_cell_angle_gamma 90.00
loop_
_atom_site_label
_atom_site_type_symbol
_atom_site_fract_x
_atom_site_fract_y
_atom_site_fract_z
Cr1 Cr 0.000 0.000 0.000
Co1 Co 0.250 0.250 0.250
Rh1 Rh 0.250 0.250 0.750
```


KLi5 after structural relaxation. Source: the Alexandria database, functional PBE-GGA.

The spin magnetization comes out at 0.0 μB/f.u. The formation energy from the elements is 0.56 eV per formula unit. Its energy above the lowest structure with this stoichiometry is 0 meV per atom. As for the crystal system: hexagonal. The energy is -10.109 eV for the cell shown.

CIF file:
```
data_KLi5
_symmetry_space_group_name_H-M 'P 6/m m m'
_symmetry_Int_Tables_number 191
_symmetry_space_group_name_Hall '-P 6 2'
_cell_length_a 6.3619
_cell_length_b 6.3619
_cell_length_c 4.9333
_cell_angle_alpha 90.00
_cell_angle_beta 90.00
_cell_angle_gamma 120.00
loop_
_atom_site_label
_atom_site_type_symbol
_atom_site_fract_x
_atom_site_fract_y
_atom_site_fract_z
K1 K 0.0000 0.0000 0.0000
Li1 Li 0.0000 0.5000 0.5000
Li2 Li 0.3333 0.6667 0.0000
```


Hf4CuAu after structural relaxation. Source: the Alexandria database, functional PBE-GGA.

The spin magnetization comes out at 0.0 μB/f.u. The formation energy from the elements is -1.79 eV per formula unit. As for the crystal system: tetragonal. The energy is -48.981 eV for the cell shown.

CIF file:
```
data_Hf4CuAu
_symmetry_space_group_name_H-M 'P 4/m m m'
_symmetry_Int_Tables_number 123
_symmetry_space_group_name_Hall '-P 4 2'
_cell_length_a 3.212
_cell_length_b 3.212
_cell_length_c 11.476
_cell_angle_alpha 90.00
_cell_angle_beta 90.00
_cell_angle_gamma 90.00
loop_
_atom_site_label
_atom_site_type_symbol
_atom_site_fract_x
_atom_site_fract_y
_atom_site_fract_z
Hf1 Hf 0.000 0.000 0.151
Hf2 Hf 0.500 0.500 0.331
Cu1 Cu 0.500 0.500 0.000
Au1 Au 0.000 0.000 0.500
```


TcIr2Pt after structural relaxation. Source: the Alexandria database, functional PBE-GGA.

The spin magnetization comes out at 0.0 μB/f.u. The formation energy from the elements is -0.46 eV per formula unit. Its energy above the lowest structure with this stoichiometry is 25 meV per atom. As for the crystal system: orthorhombic. The energy is -34.592 eV for the cell shown.

CIF file:
```
data_TcIr2Pt
_symmetry_space_group_name_H-M 'P m m m'
_symmetry_Int_Tables_number 47
_symmetry_space_group_name_Hall '-P 2 2'
_cell_length_a 2.744
_cell_length_b 3.883
_cell_length_c 5.538
_cell_angle_alpha 90.00
_cell_angle_beta 90.00
_cell_angle_gamma 90.00
loop_
_atom_site_label
_atom_site_type_symbol
_atom_site_fract_x
_atom_site_fract_y
_atom_site_fract_z
Tc1 Tc 0.000 0.000 0.000
Ir1 Ir 0.500 0.500 0.240
Pt1 Pt 0.000 0.000 0.500
```


PmH8Ru2 after structural relaxation. Source: the Alexandria database, functional PBE-GGA.

The spin magnetization comes out at 0.0 μB/f.u. As for the crystal system: monoclinic. The energy is -104.349 eV for the cell shown.

CIF file:
```
data_PmH8Ru2
_symmetry_space_group_name_H-M 'C 1 2/m 1'
_symmetry_Int_Tables_number 12
_symmetry_space_group_name_Hall '-C 2y'
_cell_length_a 5.381
_cell_length_b 8.718
_cell_length_c 3.560
_cell_angle_alpha 90.00
_cell_angle_beta 91.90
_cell_angle_gamma 90.00
loop_
_atom_site_label
_atom_site_type_symbol
_atom_site_fract_x
_atom_site_fract_y
_atom_site_fract_z
Pm1 Pm 0.000 0.000 0.000
H1 H 0.000 0.290 0.000
H2 H 0.069 0.500 0.745
H3 H 0.176 0.148 0.514
Ru1 Ru 0.000 0.327 0.500
```